1.
The following is a PBE-GGA calculation of Cd2MoRu after structural relaxation, from the Alexandria database.

## Properties
- E_form (meV/atom) = 401
- magnetization (μB/atom) = 0.000
- uncorrected energy (eV for the cell shown) = -20.33
- density of states at the Fermi level (states/eV per atom) = 0.727

The structure in POSCAR format:
```
Cd2MoRu
1.0
-1.5618 2.4357 4.7204
1.5618 -2.4357 4.7204
1.5618 2.4357 -4.7204
Cd Mo Ru
2 1 1
Direct
0.0000 0.0000 0.0000
0.7291 0.2291 0.5000
0.2677 0.7677 0.5000
0.4699 0.4699 0.0000
```

---

2.
The following is a PBE-GGA calculation of NpGa6Pd12 after structural relaxation, from the Alexandria database.

## Properties
- E_form (meV/atom) = -468
- magnetization (μB/atom) = 0.226
- uncorrected energy (eV for the cell shown) = -102.31
- density of states at the Fermi level (states/eV per atom) = 0.661

The structure in POSCAR format:
```
NpGa6Pd12
1.0
5.7776 3.3357 2.7952
-5.7776 3.3357 2.7952
0.0000 -6.6714 2.7952
Np Ga Pd
1 6 12
Direct
0.0000 0.0000 0.0000
0.2667 0.2667 0.7036
0.2667 0.7036 0.2667
0.2964 0.7333 0.7333
0.7036 0.2667 0.2667
0.7333 0.2964 0.7333
0.7333 0.7333 0.2964
0.1213 0.5000 0.8787
0.1213 0.8787 0.5000
0.1579 0.4061 0.4061
0.4061 0.1579 0.4061
0.4061 0.4061 0.1579
0.5000 0.1213 0.8787
0.5000 0.8787 0.1213
0.5939 0.5939 0.8421
0.5939 0.8421 0.5939
0.8421 0.5939 0.5939
0.8787 0.1213 0.5000
0.8787 0.5000 0.1213
```

---

3.
The following is a PBE-GGA calculation of CaTb2Y3Bi6 after structural relaxation, from the Alexandria database.

## Properties
- E_form (meV/atom) = -853
- magnetization (μB/atom) = 0.000
- uncorrected energy (eV for the cell shown) = -64.18
- density of states at the Fermi level (states/eV per atom) = 0.286

The structure in POSCAR format:
```
CaTb2Y3Bi6
1.0
9.8328 -2.2504 0.0000
9.8328 2.2504 0.0000
-2.0792 0.0000 8.7894
Ca Tb Y Bi
1 2 3 6
Direct
0.0000 0.0000 0.0000
0.3339 0.3339 0.6685
0.6661 0.6661 0.3315
0.0000 0.0000 0.5000
0.3348 0.3348 0.1664
0.6652 0.6652 0.8336
0.1670 0.1670 0.5832
0.1689 0.1689 0.0843
0.5002 0.5002 0.2556
0.4998 0.4998 0.7444
0.8311 0.8311 0.9157
0.8330 0.8330 0.4168
```

---

4.
The following is a PBE-GGA calculation of LaTl2Cd after structural relaxation, from the Alexandria database.

## Properties
- E_form (meV/atom) = -203
- magnetization (μB/atom) = 0.000
- uncorrected energy (eV for the cell shown) = -11.39
- density of states at the Fermi level (states/eV per atom) = 0.622

The structure in POSCAR format:
```
LaTl2Cd
1.0
5.0137 -2.0057 0.0000
5.0137 2.0057 0.0000
-1.6859 0.0000 5.8432
La Tl Cd
1 2 1
Direct
0.0000 0.0000 0.0000
0.2389 0.2389 0.7172
0.7611 0.7611 0.2828
0.5000 0.5000 0.5000
```

---

5.
The following is a PBE-GGA calculation of CsPm2W2N6 after structural relaxation, from the Alexandria database.

## Properties
- uncorrected formation energy (eV/atom) = -0.564
- magnetization (μB/atom) = 0.085
- uncorrected energy (eV for the cell shown) = -92.42
- density of states at the Fermi level (states/eV per atom) = 0.402

The structure in POSCAR format:
```
CsPm2W2N6
1.0
6.8191 0.0000 0.0000
-3.4043 5.9648 0.0000
-0.0057 -3.8662 6.0769
Cs Pm W N
1 2 2 6
Direct
0.0000 0.0000 0.0000
0.3248 0.6496 0.7125
0.6752 0.3504 0.2875
0.3781 0.7569 0.3088
0.6219 0.2431 0.6912
0.0878 0.6090 0.3551
0.4219 0.8453 0.0971
0.4799 0.3920 0.6458
0.5201 0.6080 0.3542
0.5781 0.1547 0.9029
0.9122 0.3910 0.6449
```

---

6.
The following is a PBE-GGA calculation of Na2BeZnAu6 after structural relaxation, from the Alexandria database.

## Properties
- E_form (meV/atom) = -197
- magnetization (μB/atom) = 0.000
- uncorrected energy (eV for the cell shown) = -29.27
- density of states at the Fermi level (states/eV per atom) = 0.195

The structure in POSCAR format:
```
Na2BeZnAu6
1.0
6.4879 0.0000 0.0000
-3.2410 5.6221 0.0000
-0.0003 -3.6975 5.9658
Na Be Zn Au
2 1 1 6
Direct
0.2181 0.4350 0.1494
0.7819 0.5650 0.8506
0.0000 0.0000 0.5000
0.5000 0.0000 0.0000
0.2394 0.9166 0.6592
0.2431 0.4814 0.6637
0.3211 0.0822 0.3393
0.6789 0.9178 0.6607
0.7569 0.5186 0.3363
0.7606 0.0834 0.3408
```

---

7.
The following is a PBE-GGA calculation of NdRe2AgO8 after structural relaxation, from the Alexandria database.

## Properties
- uncorrected formation energy (eV/atom) = -1.682
- magnetization (μB/atom) = 0.000
- uncorrected energy (eV for the cell shown) = -92.37
- density of states at the Fermi level (states/eV per atom) = 0.233

The structure in POSCAR format:
```
NdRe2AgO8
1.0
6.5766 0.0000 0.0000
-3.2883 5.6955 0.0000
0.0000 0.0000 6.6026
Nd Re Ag O
1 2 1 8
Direct
0.0000 0.0000 0.0000
0.3333 0.6667 0.2549
0.6667 0.3333 0.7451
0.0000 0.0000 0.5000
0.1846 0.3692 0.1729
0.1846 0.8154 0.1729
0.3333 0.6667 0.5186
0.3692 0.1846 0.8271
0.6308 0.8154 0.1729
0.6667 0.3333 0.4814
0.8154 0.1846 0.8271
0.8154 0.6308 0.8271
```

---

8.
The following is a PBE-GGA calculation of TlNiP after structural relaxation, from the Alexandria database.

## Properties
- E_form (meV/atom) = 234
- magnetization (μB/atom) = 0.000
- uncorrected energy (eV for the cell shown) = -12.85
- density of states at the Fermi level (states/eV per atom) = 0.405

The structure in POSCAR format:
```
TlNiP
1.0
0.0000 3.0161 3.0161
3.0161 0.0000 3.0161
3.0161 3.0161 0.0000
Tl Ni P
1 1 1
Direct
0.0000 0.0000 0.0000
0.7500 0.7500 0.7500
0.5000 0.5000 0.5000
```

---

9.
The following is a PBE-GGA calculation of Sr2TlSb after structural relaxation, from the Alexandria database.

## Properties
- uncorrected formation energy (eV/atom) = -0.681
- magnetization (μB/atom) = 0.000
- uncorrected energy (eV for the cell shown) = -12.58
- density of states at the Fermi level (states/eV per atom) = 0.347

The structure in POSCAR format:
```
Sr2TlSb
1.0
4.0629 0.0000 0.0000
0.0000 4.3525 0.0000
0.0000 0.0000 7.6851
Sr Tl Sb
2 1 1
Direct
0.0000 0.0000 0.2347
0.0000 0.0000 0.7653
0.5000 0.5000 0.5000
0.5000 0.5000 0.0000
```

---

10.
The following is a PBE-GGA calculation of LiNdIn2 after structural relaxation, from the Alexandria database.

## Properties
- E_form (meV/atom) = -404
- magnetization (μB/atom) = 0.000
- uncorrected energy (eV for the cell shown) = -13.78
- density of states at the Fermi level (states/eV per atom) = 0.618

The structure in POSCAR format:
```
LiNdIn2
1.0
3.5939 0.0000 0.0000
0.0000 3.5939 0.0000
0.0000 0.0000 7.5003
Li Nd In
1 1 2
Direct
0.0000 0.0000 0.0000
0.0000 0.0000 0.5000
0.5000 0.5000 0.2044
0.5000 0.5000 0.7956
```

---

11.
The following is a PBE-GGA calculation of BaCdTe2N after structural relaxation, from the Alexandria database.

## Properties
- uncorrected formation energy (eV/atom) = 0.808
- magnetization (μB/atom) = 0.723
- uncorrected energy (eV for the cell shown) = -13.41
- density of states at the Fermi level (states/eV per atom) = 1.498

The structure in POSCAR format:
```
BaCdTe2N
1.0
6.6526 0.0000 0.0000
0.0000 6.6526 0.0000
0.0000 0.0000 5.2184
Ba Cd Te N
1 1 2 1
Direct
0.0000 0.0000 0.0000
0.5000 0.5000 0.5000
0.0000 0.5000 0.0000
0.5000 0.0000 0.0000
0.0000 0.0000 0.5000
```

---

12.
The following is a PBE-GGA calculation of HgB3Cl after structural relaxation, from the Alexandria database.

## Properties
- uncorrected formation energy (eV/atom) = 2.334
- magnetization (μB/atom) = 0.000
- uncorrected energy (eV for the cell shown) = -10.51
- density of states at the Fermi level (states/eV per atom) = 0.469

The structure in POSCAR format:
```
HgB3Cl
1.0
4.0395 0.0000 0.0000
0.0000 4.0395 0.0000
0.0000 0.0000 4.0395
Hg B Cl
1 3 1
Direct
0.0000 0.0000 0.0000
0.0000 0.5000 0.5000
0.5000 0.0000 0.5000
0.5000 0.5000 0.0000
0.5000 0.5000 0.5000
```